First-principles (PBE-GGA) data for a relaxed Mg8Ni2Rh crystal, as listed in Alexandria via LeMat-Bulk.

Output
Its calculated total energy is -3.045 eV per atom. The spin magnetization comes out at 0.00 μB/f.u. The calculation puts the formation energy at -0.166 eV/atom. For the calculated volume, the calculation gives 193 Å³/cell. The space-group type is No. 12.

POSCAR file:
```
Mg8Ni2Rh
1.0
7.108 -2.207 0.000
7.108 2.207 0.000
-2.742 0.000 6.155
Mg Ni Rh
8 2 1
Direct
0.035 0.035 0.243
0.159 0.159 0.720
0.328 0.328 0.578
0.382 0.382 0.052
0.618 0.618 0.948
0.672 0.672 0.422
0.841 0.841 0.280
0.965 0.965 0.757
0.207 0.207 0.159
0.793 0.793 0.841
0.500 0.500 0.500
```

First-principles (PBE-GGA) data for a relaxed MgNi2Rh crystal, as listed in Alexandria via LeMat-Bulk.

Output
Its calculated total energy is -5.247 eV per atom. The spin magnetization comes out at 1.03 μB/f.u. The calculation puts the formation energy at -0.120 eV/atom. For the calculated volume, the calculation gives 52 Å³/cell. The space-group type is No. 123.

POSCAR file:
```
MgNi2Rh
1.0
3.728 0.000 0.000
0.000 3.728 0.000
0.000 0.000 3.763
Mg Ni Rh
1 2 1
Direct
0.000 0.000 0.000
0.000 0.500 0.500
0.500 0.000 0.500
0.500 0.500 0.000
```

First-principles (PBE-GGA) data for a relaxed MgNiRh2 crystal, as listed in Alexandria via LeMat-Bulk.

Output
Its calculated total energy is -5.580 eV per atom. The spin magnetization comes out at 1.58 μB/f.u. The calculation puts the formation energy at -0.060 eV/atom. For the calculated volume, the calculation gives 57 Å³/cell. The space-group type is No. 160.

POSCAR file:
```
MgNiRh2
1.0
1.391 0.803 8.465
-1.391 0.803 8.465
0.000 -1.607 8.465
Mg Ni Rh
1 1 2
Direct
0.000 0.000 0.000
0.834 0.834 0.834
0.420 0.420 0.420
0.580 0.580 0.580
```

First-principles (PBE-GGA) data for a relaxed MgNi3Rh crystal, as listed in Alexandria via LeMat-Bulk.

Output
Its calculated total energy is -4.372 eV per atom. The spin magnetization comes out at 3.12 μB/f.u. Its relative energy among the computed polymorphs is 0 meV/atom. The calculation puts the formation energy at 0.886 eV/atom. For the calculated volume, the calculation gives 93 Å³/cell. The space-group type is No. 221.

POSCAR file:
```
MgNi3Rh
1.0
4.535 0.000 0.000
0.000 4.535 0.000
0.000 0.000 4.535
Mg Ni Rh
1 3 1
Direct
0.000 0.000 0.000
0.000 0.500 0.500
0.500 0.000 0.500
0.500 0.500 0.000
0.500 0.500 0.500
```

First-principles (PBE-GGA) data for a relaxed MgNiRh2 crystal, as listed in Alexandria via LeMat-Bulk.

Output
Its calculated total energy is -5.697 eV per atom. The spin magnetization comes out at 0.00 μB/f.u. The calculation puts the formation energy at -0.177 eV/atom. For the calculated volume, the calculation gives 56 Å³/cell. The space-group type is No. 119.

POSCAR file:
```
MgNiRh2
1.0
-1.894 1.894 3.870
1.894 -1.894 3.870
1.894 1.894 -3.870
Mg Ni Rh
1 1 2
Direct
0.000 0.000 0.000
0.750 0.250 0.500
0.250 0.750 0.500
0.500 0.500 0.000
```

First-principles (PBE-GGA) data for a relaxed MgNi2Rh crystal, as listed in Alexandria via LeMat-Bulk.

Output
Its calculated total energy is -5.206 eV per atom. The spin magnetization comes out at 0.70 μB/f.u. The calculation puts the formation energy at -0.079 eV/atom. For the calculated volume, the calculation gives 53 Å³/cell. The space-group type is No. 47.

POSCAR file:
```
MgNi2Rh
1.0
2.699 0.000 0.000
0.000 3.712 0.000
0.000 0.000 5.293
Mg Ni Rh
1 2 1
Direct
0.000 0.000 0.000
0.500 0.500 0.266
0.500 0.500 0.734
0.000 0.000 0.500
```

First-principles (PBE-GGA) data for a relaxed Mg3NiRh crystal, as listed in Alexandria via LeMat-Bulk.

Output
Its calculated total energy is -3.261 eV per atom. The spin magnetization comes out at 0.00 μB/f.u. Its relative energy among the computed polymorphs is 0 meV/atom. The calculation puts the formation energy at 0.322 eV/atom. For the calculated volume, the calculation gives 97 Å³/cell. The space-group type is No. 221.

POSCAR file:
```
Mg3NiRh
1.0
4.593 0.000 0.000
0.000 4.593 0.000
0.000 0.000 4.593
Mg Ni Rh
3 1 1
Direct
0.000 0.000 0.500
0.000 0.500 0.000
0.500 0.000 0.000
0.000 0.000 0.000
0.500 0.500 0.500
```

First-principles (PBE-GGA) data for a relaxed Mg2NiRh crystal, as listed in Alexandria via LeMat-Bulk.

Output
Its calculated total energy is -4.347 eV per atom. The spin magnetization comes out at 0.30 μB/f.u. The calculation puts the formation energy at -0.267 eV/atom. For the calculated volume, the calculation gives 61 Å³/cell. The space-group type is No. 8.

POSCAR file:
```
Mg2NiRh
1.0
4.840 -1.482 0.000
4.840 1.482 0.000
-1.510 0.000 4.224
Mg Ni Rh
2 1 1
Direct
0.000 0.000 0.000
0.217 0.217 0.641
0.747 0.747 0.154
0.466 0.466 0.480
```

First-principles (PBE-GGA) data for a relaxed Mg2NiRh crystal, as listed in Alexandria via LeMat-Bulk.

Output
Its calculated total energy is -4.258 eV per atom. The spin magnetization comes out at 0.12 μB/f.u. The calculation puts the formation energy at -0.177 eV/atom. For the calculated volume, the calculation gives 60 Å³/cell. The space-group type is No. 216.

POSCAR file:
```
Mg2NiRh
1.0
0.000 3.102 3.102
3.102 0.000 3.102
3.102 3.102 0.000
Mg Ni Rh
2 1 1
Direct
0.000 0.000 0.000
0.250 0.250 0.250
0.500 0.500 0.500
0.750 0.750 0.750
```

First-principles (PBE-GGA) data for a relaxed Mg2NiRh crystal, as listed in Alexandria via LeMat-Bulk.

Output
Its calculated total energy is -4.221 eV per atom. The spin magnetization comes out at 0.00 μB/f.u. The calculation puts the formation energy at -0.141 eV/atom. For the calculated volume, the calculation gives 61 Å³/cell. The space-group type is No. 25.

POSCAR file:
```
Mg2NiRh
1.0
2.845 0.000 0.000
0.000 3.924 0.000
0.000 0.000 5.468
Mg Ni Rh
2 1 1
Direct
0.000 0.000 0.000
0.500 0.500 0.312
0.000 0.000 0.530
0.500 0.500 0.787
```

First-principles (PBE-GGA) data for a relaxed Mg4NiRh3 crystal, as listed in Alexandria via LeMat-Bulk.

Output
Its calculated total energy is -4.686 eV per atom. The spin magnetization comes out at 0.00 μB/f.u. The calculation puts the formation energy at -0.409 eV/atom. For the calculated volume, the calculation gives 120 Å³/cell. The space-group type is No. 166.

POSCAR file:
```
Mg4NiRh3
1.0
2.196 1.268 7.170
-2.196 1.268 7.170
0.000 -2.536 7.170
Mg Ni Rh
4 1 3
Direct
0.125 0.125 0.125
0.375 0.375 0.375
0.625 0.625 0.625
0.875 0.875 0.875
0.000 0.000 0.000
0.252 0.252 0.252
0.500 0.500 0.500
0.748 0.748 0.748
```

First-principles (PBE-GGA) data for a relaxed MgNiRh2 crystal, as listed in Alexandria via LeMat-Bulk.

Output
Its calculated total energy is -5.679 eV per atom. The spin magnetization comes out at 1.02 μB/f.u. The calculation puts the formation energy at -0.159 eV/atom. For the calculated volume, the calculation gives 56 Å³/cell. The space-group type is No. 12.

POSCAR file:
```
MgNiRh2
1.0
4.395 -1.382 0.000
4.395 1.382 0.000
-0.916 0.000 4.630
Mg Ni Rh
1 1 2
Direct
0.000 0.000 0.000
0.500 0.500 0.500
0.243 0.243 0.736
0.757 0.757 0.264
```

First-principles (PBE-GGA) data for a relaxed MgNi2Rh crystal, as listed in Alexandria via LeMat-Bulk.

Output
Its calculated total energy is -5.216 eV per atom. The spin magnetization comes out at 1.58 μB/f.u. The calculation puts the formation energy at -0.089 eV/atom. For the calculated volume, the calculation gives 53 Å³/cell. The space-group type is No. 99.

POSCAR file:
```
MgNi2Rh
1.0
3.021 0.000 0.000
0.000 3.021 0.000
0.000 0.000 5.831
Mg Ni Rh
1 2 1
Direct
0.000 0.000 0.000
0.000 0.000 0.476
0.500 0.500 0.268
0.500 0.500 0.717
```

First-principles (PBE-GGA) data for a relaxed MgNiRh crystal, as listed in Alexandria via LeMat-Bulk.

Output
Its calculated total energy is -5.039 eV per atom. The spin magnetization comes out at 1.05 μB/f.u. Its relative energy among the computed polymorphs is 143 meV/atom. The calculation puts the formation energy at -0.130 eV/atom. For the calculated volume, the calculation gives 43 Å³/cell. The space-group type is No. 44.

POSCAR file:
```
MgNiRh
1.0
-1.451 1.741 4.220
1.451 -1.741 4.220
1.451 1.741 -4.220
Mg Ni Rh
1 1 1
Direct
0.000 0.000 0.000
0.325 0.325 0.000
0.679 0.679 0.000
```

First-principles (PBE-GGA) data for a relaxed MgNi2Rh crystal, as listed in Alexandria via LeMat-Bulk.

Output
Its calculated total energy is -5.212 eV per atom. The spin magnetization comes out at 0.76 μB/f.u. The calculation puts the formation energy at -0.085 eV/atom. For the calculated volume, the calculation gives 53 Å³/cell. The space-group type is No. 12.

POSCAR file:
```
MgNi2Rh
1.0
4.398 -1.370 0.000
4.398 1.370 0.000
-0.911 0.000 4.383
Mg Ni Rh
1 2 1
Direct
0.000 0.000 0.000
0.244 0.244 0.736
0.756 0.756 0.264
0.500 0.500 0.500
```

First-principles (PBE-GGA) data for a relaxed MgNi2Rh crystal, as listed in Alexandria via LeMat-Bulk.

Output
Its calculated total energy is -5.158 eV per atom. The spin magnetization comes out at 0.91 μB/f.u. The calculation puts the formation energy at -0.031 eV/atom. For the calculated volume, the calculation gives 53 Å³/cell. The space-group type is No. 123.

POSCAR file:
```
MgNi2Rh
1.0
2.735 0.000 0.000
0.000 2.735 0.000
0.000 0.000 7.132
Mg Ni Rh
1 2 1
Direct
0.000 0.000 0.000
0.500 0.500 0.261
0.500 0.500 0.739
0.000 0.000 0.500
```

First-principles (PBE-GGA) data for a relaxed MgNiRh crystal, as listed in Alexandria via LeMat-Bulk.

Output
Its calculated total energy is -4.933 eV per atom. The spin magnetization comes out at 0.64 μB/f.u. Its relative energy among the computed polymorphs is 250 meV/atom. The calculation puts the formation energy at -0.024 eV/atom. For the calculated volume, the calculation gives 43 Å³/cell. The space-group type is No. 156.

POSCAR file:
```
MgNiRh
1.0
2.778 0.000 0.000
-1.389 2.406 0.000
0.000 0.000 6.366
Mg Ni Rh
1 1 1
Direct
0.000 0.000 0.000
0.667 0.333 0.334
0.333 0.667 0.653
```

First-principles (PBE-GGA) data for a relaxed MgNi2Rh crystal, as listed in Alexandria via LeMat-Bulk.

Output
Its calculated total energy is -5.211 eV per atom. The spin magnetization comes out at 0.71 μB/f.u. The calculation puts the formation energy at -0.084 eV/atom. For the calculated volume, the calculation gives 53 Å³/cell. The space-group type is No. 6.

POSCAR file:
```
MgNi2Rh
1.0
2.690 0.000 0.000
0.000 4.119 0.000
-1.323 0.000 4.787
Mg Ni Rh
1 2 1
Direct
0.000 0.000 0.000
0.606 0.500 0.213
0.735 0.000 0.480
0.332 0.500 0.673
```

First-principles (PBE-GGA) data for a relaxed MgNi4Rh crystal, as listed in Alexandria via LeMat-Bulk.

Output
Its calculated total energy is -5.415 eV per atom. The spin magnetization comes out at 2.22 μB/f.u. The calculation puts the formation energy at -0.070 eV/atom. For the calculated volume, the calculation gives 75 Å³/cell. The space-group type is No. 216.

POSCAR file:
```
MgNi4Rh
1.0
0.000 3.354 3.354
3.354 0.000 3.354
3.354 3.354 0.000
Mg Ni Rh
1 4 1
Direct
0.000 0.000 0.000
0.375 0.375 0.375
0.375 0.375 0.874
0.375 0.874 0.375
0.874 0.375 0.375
0.750 0.750 0.750
```

First-principles (PBE-GGA) data for a relaxed Mg8NiRh2 crystal, as listed in Alexandria via LeMat-Bulk.

Output
Its calculated total energy is -3.280 eV per atom. The spin magnetization comes out at 0.00 μB/f.u. The calculation puts the formation energy at -0.258 eV/atom. For the calculated volume, the calculation gives 200 Å³/cell. The space-group type is No. 12.

POSCAR file:
```
Mg8NiRh2
1.0
7.704 -2.242 0.000
7.704 2.242 0.000
-2.030 0.000 5.804
Mg Ni Rh
8 1 2
Direct
0.021 0.021 0.271
0.196 0.196 0.775
0.341 0.341 0.561
0.394 0.394 0.059
0.606 0.606 0.941
0.659 0.659 0.439
0.804 0.804 0.225
0.979 0.979 0.729
0.500 0.500 0.500
0.185 0.185 0.200
0.815 0.815 0.800
```